This record from Alexandria via LeMat-Bulk describes Pa2PbO8 after structural relaxation. The functional is PBE.

Results
* calculated volume: 173.3 Å³/f.u.
* energy: -86.58 eV for the cell shown
* symmetry: No. 2
* energy relative to the elements, uncorrected: -2.20 eV/atom

Lattice parameters (Å, degrees): 3.678 6.700 7.686 99.56 90.94 111.36
Atoms (fractional coordinates):
Pa1 0.725 0.462 0.704
Pa2 0.275 0.538 0.296
Pb1 0.500 0.000 0.000
O1 0.456 0.837 0.214
O2 0.713 0.448 0.139
O3 0.840 0.638 0.471
O4 0.880 0.825 0.855
O5 0.160 0.362 0.529
O6 0.287 0.552 0.861
O7 0.544 0.163 0.786
O8 0.120 0.175 0.145



This record from Alexandria via LeMat-Bulk describes TmPu5Pt6 after structural relaxation. The functional is PBE.

Results
* calculated volume: 257.6 Å³/f.u.
* energy: -121.77 eV for the cell shown
* symmetry: No. 71
* ΔH_f (0 K): -9.40 eV/f.u.

Lattice parameters (Å, degrees): 4.939 7.013 8.584 114.11 106.71 90.00
Atoms (fractional coordinates):
Tm1 0.000 0.000 0.000
Pt1 0.161 0.403 0.323
Pt2 0.161 0.920 0.323
Pt3 0.500 0.232 0.000
Pt4 0.500 0.768 0.000
Pt5 0.839 0.080 0.677
Pt6 0.839 0.597 0.677
Pu1 0.326 0.826 0.653
Pu2 0.663 0.663 0.325
Pu3 0.000 0.500 0.000
Pu4 0.337 0.337 0.675
Pu5 0.674 0.174 0.347



This record from Alexandria via LeMat-Bulk describes LiTe2Se after structural relaxation. The functional is PBE.

Results
* calculated volume: 103.3 Å³/f.u.
* energy: -12.13 eV for the cell shown
* symmetry: No. 166
* energy relative to the elements, uncorrected: -0.11 eV/atom

Lattice parameters (Å, degrees): 7.256 7.256 7.256 33.44 33.44 33.44
Atoms (fractional coordinates):
Li1 0.250 0.250 0.250
Se1 0.750 0.750 0.750
Te1 0.997 0.997 0.997
Te2 0.503 0.503 0.503



This record from Alexandria via LeMat-Bulk describes LaNd6Th3 after structural relaxation. The functional is PBE.

Results
* calculated volume: 357.3 Å³/f.u.
* energy: -108.31 eV for the cell shown
* symmetry: No. 11
* ΔH_f (0 K): 1.64 eV/f.u.

Lattice parameters (Å, degrees): 5.763 11.677 15.090 135.27 90.00 90.00
Atoms (fractional coordinates):
La1 0.250 0.290 0.959
La2 0.750 0.710 0.041
Nd1 0.250 0.441 0.546
Nd2 0.750 0.559 0.454
Nd3 0.250 0.971 0.157
Nd4 0.750 0.029 0.843
Nd5 0.250 0.896 0.654
Nd6 0.750 0.104 0.346
Nd7 0.250 0.730 0.194
Nd8 0.750 0.270 0.806
Nd9 0.250 0.528 0.837
Nd10 0.750 0.472 0.163
Nd11 0.250 0.302 0.216
Nd12 0.750 0.698 0.784
Th1 0.250 0.100 0.534
Th2 0.750 0.900 0.466
Th3 0.250 0.672 0.367
Th4 0.750 0.328 0.633
Th5 0.250 0.916 0.899
Th6 0.750 0.084 0.101



This record from Alexandria via LeMat-Bulk describes Ga2CoRh after structural relaxation. The functional is PBE.

Results
* calculated volume: 61.8 Å³/f.u.
* energy: -19.40 eV for the cell shown
* symmetry: No. 71
* ΔH_f (0 K): 1.12 eV/f.u.

Lattice parameters (Å, degrees): 5.545 5.545 5.545 58.11 151.26 130.65
Atoms (fractional coordinates):
Ga1 0.000 0.245 0.245
Ga2 0.000 0.755 0.755
Co1 0.000 0.000 0.000
Rh1 0.000 0.500 0.500



This record from Alexandria via LeMat-Bulk describes CeSm4Tl2 after structural relaxation. The functional is PBE.

Results
* calculated volume: 238.8 Å³/f.u.
* energy: -29.08 eV for the cell shown
* symmetry: No. 166
* ΔH_f (0 K): 0.47 eV/f.u.

Lattice parameters (Å, degrees): 5.519 5.519 9.599 73.29 73.29 60.00
Atoms (fractional coordinates):
Ce1 0.500 0.500 0.500
Sm1 0.734 0.734 0.798
Sm2 0.868 0.868 0.395
Sm3 0.266 0.266 0.202
Sm4 0.132 0.132 0.605
Tl1 0.616 0.616 0.151
Tl2 0.384 0.384 0.849



This record from Alexandria via LeMat-Bulk describes Si2AsAu after structural relaxation. The functional is PBE.

Results
* calculated volume: 71.6 Å³/f.u.
* energy: -18.22 eV for the cell shown
* symmetry: No. 166
* energy relative to the elements, uncorrected: 0.14 eV/atom

Lattice parameters (Å, degrees): 6.568 6.568 6.568 32.22 32.22 32.22
Atoms (fractional coordinates):
As1 0.250 0.250 0.250
Au1 0.750 0.750 0.750
Si1 0.999 0.999 0.999
Si2 0.501 0.501 0.501



This record from Alexandria via LeMat-Bulk describes ZnAsRu2 after structural relaxation. The functional is PBE.

Results
* calculated volume: 58.5 Å³/f.u.
* energy: -24.37 eV for the cell shown
* symmetry: No. 12
* ΔH_f (0 K): 0.10 eV/f.u.
* energy relative to the lowest polymorph listed for this composition: 0.1261 eV per atom

Lattice parameters (Å, degrees): 4.229 4.229 5.119 79.88 79.88 40.61
Atoms (fractional coordinates):
As1 0.250 0.250 0.250
Ru1 0.995 0.995 0.020
Ru2 0.505 0.505 0.480
Zn1 0.750 0.750 0.750



This record from Alexandria via LeMat-Bulk describes LaCeEuSc after structural relaxation. The functional is PBE.

Results
* calculated volume: 132.8 Å³/f.u.
* energy: -26.35 eV for the cell shown
* symmetry: No. 216
* ΔH_f (0 K): 1.12 eV/f.u.

Lattice parameters (Å, degrees): 5.727 5.727 5.727 60.00 60.00 60.00
Atoms (fractional coordinates):
Eu1 0.750 0.750 0.750
Sc1 0.000 0.000 0.000
Ce1 0.250 0.250 0.250
La1 0.500 0.500 0.500



This record from Alexandria via LeMat-Bulk describes Pr3BiAu after structural relaxation. The functional is PBE.

Results
* calculated volume: 163.4 Å³/f.u.
* energy: -97.92 eV for the cell shown
* symmetry: No. 64
* ΔH_f (0 K): -2.98 eV/f.u.

Lattice parameters (Å, degrees): 8.597 8.741 8.741 84.25 90.00 90.00
Atoms (fractional coordinates):
Pr1 0.588 0.811 0.986
Pr2 0.912 0.014 0.189
Pr3 0.412 0.189 0.014
Pr4 0.088 0.986 0.811
Pr5 0.809 0.435 0.065
Pr6 0.691 0.935 0.565
Pr7 0.191 0.565 0.935
Pr8 0.309 0.065 0.435
Pr9 0.588 0.514 0.689
Pr10 0.912 0.311 0.486
Pr11 0.412 0.486 0.311
Pr12 0.088 0.689 0.514
Bi1 0.250 0.835 0.165
Bi2 0.750 0.165 0.835
Bi3 0.250 0.335 0.665
Bi4 0.750 0.665 0.335
Au1 0.876 0.693 0.807
Au2 0.624 0.193 0.307
Au3 0.124 0.307 0.193
Au4 0.376 0.807 0.693



This record from Alexandria via LeMat-Bulk describes Ca4CdGaAu2 after structural relaxation. The functional is PBE.

Results
* calculated volume: 201.7 Å³/f.u.
* energy: -23.09 eV for the cell shown
* symmetry: No. 166
* ΔH_f (0 K): -4.59 eV/f.u.

Lattice parameters (Å, degrees): 5.228 5.228 9.042 73.20 73.20 60.00
Atoms (fractional coordinates):
Ca1 0.378 0.378 0.865
Ca2 0.872 0.872 0.385
Ca3 0.128 0.128 0.615
Ca4 0.622 0.622 0.135
Cd1 0.000 0.000 0.000
Ga1 0.500 0.500 0.500
Au1 0.747 0.747 0.758
Au2 0.253 0.253 0.242



This record from Alexandria via LeMat-Bulk describes Zr2MnAu after structural relaxation. The functional is PBE.

Results
* calculated volume: 77.9 Å³/f.u.
* energy: -30.40 eV for the cell shown
* symmetry: No. 6
* ΔH_f (0 K): -0.86 eV/f.u.
* energy relative to the lowest polymorph listed for this composition: 0.0851 eV per atom

Lattice parameters (Å, degrees): 4.275 3.468 5.547 71.40 90.00 90.00
Atoms (fractional coordinates):
Au1 0.000 0.705 0.467
Mn1 0.500 0.538 0.796
Zr1 0.000 0.977 0.918
Zr2 0.500 0.279 0.320



This record from Alexandria via LeMat-Bulk describes ScFeAs2 after structural relaxation. The functional is PBE.

Results
* calculated volume: 75.7 Å³/f.u.
* energy: -25.79 eV for the cell shown
* symmetry: No. 38
* ΔH_f (0 K): -1.70 eV/f.u.
* energy relative to the lowest polymorph listed for this composition: 0.1308 eV per atom

Lattice parameters (Å, degrees): 4.376 3.432 5.325 71.18 90.00 90.00
Atoms (fractional coordinates):
As1 0.000 0.082 0.961
As2 0.500 0.358 0.410
Fe1 0.000 0.423 0.278
Sc1 0.500 0.637 0.850



This record from Alexandria via LeMat-Bulk describes NaRuO2 after structural relaxation. The functional is PBE.

Results
* calculated volume: 50.8 Å³/f.u.
* energy: -23.85 eV for the cell shown
* symmetry: No. 166
* energy relative to the elements, uncorrected: -0.83 eV/atom

Lattice parameters (Å, degrees): 6.750 6.750 6.750 25.66 25.66 25.66
Atoms (fractional coordinates):
Ru1 0.000 0.000 0.000
O1 0.910 0.910 0.910
O2 0.090 0.090 0.090
Na1 0.500 0.500 0.500



This record from Alexandria via LeMat-Bulk describes Mn2FeSnC after structural relaxation. The functional is PBE.

Results
* calculated volume: 58.9 Å³/f.u.
* energy: -39.96 eV for the cell shown
* symmetry: No. 123
* ΔH_f (0 K): 0.07 eV/f.u.

Lattice parameters (Å, degrees): 3.888 3.888 3.897 90.00 90.00 90.00
Atoms (fractional coordinates):
C1 0.000 0.000 0.000
Mn1 0.000 0.500 0.000
Mn2 0.500 0.000 0.000
Sn1 0.500 0.500 0.500
Fe1 0.000 0.000 0.500



This record from Alexandria via LeMat-Bulk describes Dy4AgPdAu2 after structural relaxation. The functional is PBE.

Results
* calculated volume: 184.1 Å³/f.u.
* energy: -38.90 eV for the cell shown
* symmetry: No. 166
* ΔH_f (0 K): -5.89 eV/f.u.

Lattice parameters (Å, degrees): 5.069 5.069 8.776 73.21 73.21 60.00
Atoms (fractional coordinates):
Dy1 0.378 0.378 0.865
Dy2 0.872 0.872 0.384
Dy3 0.128 0.128 0.616
Dy4 0.622 0.622 0.135
Ag1 0.000 0.000 0.000
Pd1 0.500 0.500 0.500
Au1 0.746 0.746 0.763
Au2 0.254 0.254 0.237



This record from Alexandria via LeMat-Bulk describes La2PuNpAs4 after structural relaxation. The functional is PBE.

Results
* calculated volume: 216.7 Å³/f.u.
* energy: -65.27 eV for the cell shown
* symmetry: No. 10
* ΔH_f (0 K): -9.54 eV/f.u.

Lattice parameters (Å, degrees): 4.245 7.358 7.357 109.43 90.00 90.00
Atoms (fractional coordinates):
La1 0.500 0.000 0.500
La2 0.000 0.500 0.500
Pu1 0.000 0.000 0.000
Np1 0.500 0.500 0.000
As1 0.500 0.246 0.232
As2 0.500 0.754 0.768
As3 0.000 0.258 0.768
As4 0.000 0.742 0.232



This record from Alexandria via LeMat-Bulk describes ErScIrRu after structural relaxation. The functional is PBE.

Results
* calculated volume: 71.8 Å³/f.u.
* energy: -31.90 eV for the cell shown
* symmetry: No. 99
* ΔH_f (0 K): -2.87 eV/f.u.
* energy relative to the lowest polymorph listed for this composition: 0.0180 eV per atom

Lattice parameters (Å, degrees): 3.298 3.298 6.601 90.00 90.00 90.00
Atoms (fractional coordinates):
Er1 0.500 0.500 0.612
Sc1 0.500 0.500 0.101
Ir1 0.000 0.000 0.345
Ru1 0.000 0.000 0.870



This record from Alexandria via LeMat-Bulk describes SbOs2Se after structural relaxation. The functional is PBE.

Results
* calculated volume: 66.8 Å³/f.u.
* energy: -27.02 eV for the cell shown
* symmetry: No. 225
* energy relative to the elements, uncorrected: 0.76 eV/atom
* energy relative to the lowest polymorph listed for this composition: 0.4067 eV per atom

Lattice parameters (Å, degrees): 4.555 4.555 4.555 60.00 60.00 60.00
Atoms (fractional coordinates):
Sb1 0.500 0.500 0.500
Os1 0.250 0.250 0.250
Os2 0.750 0.750 0.750
Se1 0.000 0.000 0.000



This record from Alexandria via LeMat-Bulk describes Ga3AgAu after structural relaxation. The functional is PBE.

Results
* calculated volume: 124.4 Å³/f.u.
* energy: -13.80 eV for the cell shown
* symmetry: No. 221
* ΔH_f (0 K): 1.41 eV/f.u.
* energy relative to the lowest polymorph listed for this composition: 0.3358 eV per atom

Lattice parameters (Å, degrees): 4.993 4.993 4.993 90.00 90.00 90.00
Atoms (fractional coordinates):
Au1 0.000 0.000 0.000
Ga1 0.000 0.500 0.000
Ga2 0.000 0.000 0.500
Ga3 0.500 0.000 0.000
Ag1 0.500 0.500 0.500